{"formula": "CaCrHg", "functional": "GGA-PBE", "state": "relaxed", "lattice": [[-4.089, 2.763, 0.084], [-4.050, -1.655, 2.283], [-1.481, 2.087, 4.220]], "species": ["Cr", "Ca", "Hg"], "frac_coords": [[0.500, 0.500, 0.500], [0.000, 0.000, 0.000], [0.750, 0.750, 0.750]], "total_energy_ev_per_cell": -10.90, "relative_energy_mev_per_atom": 172, "magmom_total_mub_per_fu": 4.7, "ef_mev_per_atom": 341}

{"formula": "Tb2SCl2", "functional": "GGA-PBE", "state": "relaxed", "lattice": [[3.855, 0.000, 0.720], [1.873, 3.384, 0.650], [0.015, -0.021, 10.604]], "species": ["Tb", "Tb", "S", "Cl", "Cl"], "frac_coords": [[0.719, 0.204, 0.358], [0.281, 0.796, 0.642], [0.000, 0.500, 0.500], [0.445, 0.913, 0.197], [0.555, 0.087, 0.803]], "total_energy_ev_per_cell": -27.35, "magmom_total_mub_per_fu": 0.0, "raw_formation_energy_ev_per_atom": -2.0541}

{"formula": "Pm4Sm10Th", "functional": "GGA-PBE", "state": "relaxed", "lattice": [[10.561, 0.000, 4.769], [5.281, 6.966, 2.384], [2.414, 0.000, 8.733]], "species": ["Pm", "Pm", "Pm", "Pm", "Sm", "Sm", "Sm", "Sm", "Sm", "Sm", "Sm", "Sm", "Sm", "Sm", "Th"], "frac_coords": [[0.566, 0.622, 0.247], [0.813, 0.753, 0.622], [0.187, 0.247, 0.378], [0.434, 0.378, 0.753], [0.250, 0.500, 0.500], [0.710, 0.345, 0.896], [0.945, 0.104, 0.345], [0.394, 0.896, 0.655], [0.952, 0.655, 0.104], [0.290, 0.655, 0.104], [0.750, 0.500, 0.500], [0.048, 0.345, 0.896], [0.606, 0.104, 0.345], [0.055, 0.896, 0.655], [0.000, 0.000, 0.000]], "total_energy_ev_per_cell": -67.05, "magmom_total_mub_per_fu": 0.0, "ef_mev_per_atom": 438}

{"formula": "Tb6Sm2Er3", "functional": "GGA-PBE", "state": "relaxed", "lattice": [[-0.913, 4.632, -0.231], [0.142, -0.208, -4.720], [-15.889, -5.438, 2.128]], "species": ["Tb", "Tb", "Tb", "Tb", "Tb", "Tb", "Sm", "Sm", "Er", "Er", "Er"], "frac_coords": [[0.122, 0.622, 0.243], [0.622, 0.122, 0.243], [0.878, 0.378, 0.757], [0.378, 0.878, 0.757], [0.697, 0.697, 0.394], [0.303, 0.303, 0.606], [0.454, 0.454, 0.908], [0.546, 0.546, 0.092], [0.000, 0.000, 0.000], [0.800, 0.800, 0.600], [0.200, 0.200, 0.400]], "total_energy_ev_per_cell": -47.82, "magmom_total_mub_per_fu": 0.0, "ef_mev_per_atom": 281}

{"formula": "V6Ge4Pt", "functional": "GGA-PBE", "state": "relaxed", "lattice": [[6.620, -0.637, -0.937], [-3.626, 5.576, 0.937], [-3.626, -1.178, 5.530]], "species": ["V", "V", "V", "V", "V", "V", "Ge", "Ge", "Ge", "Ge", "Pt"], "frac_coords": [[0.000, 0.771, 0.436], [0.000, 0.436, 0.771], [0.665, 0.229, 0.229], [0.500, 0.000, 0.500], [0.335, 0.564, 0.564], [0.500, 0.500, 0.000], [0.000, 0.083, 0.608], [0.475, 0.392, 0.392], [0.000, 0.608, 0.083], [0.525, 0.917, 0.917], [0.000, 0.000, 0.000]], "total_energy_ev_per_cell": -77.96, "magmom_total_mub_per_fu": 1.2, "ef_mev_per_atom": 115}

{"formula": "KCSCl2", "functional": "GGA-PBE", "state": "relaxed", "lattice": [[5.482, 0.000, 0.000], [0.000, 5.482, 0.000], [0.000, 0.000, 3.627]], "species": ["C", "K", "S", "Cl", "Cl"], "frac_coords": [[0.000, 0.000, 0.000], [0.500, 0.500, 0.500], [0.000, 0.000, 0.500], [0.000, 0.500, 0.000], [0.500, 0.000, 0.000]], "total_energy_ev_per_cell": -17.28, "relative_energy_mev_per_atom": 0, "magmom_total_mub_per_fu": 0.0, "raw_formation_energy_ev_per_atom": 0.1715}

{"formula": "CsSmSiS4", "functional": "GGA-PBE", "state": "relaxed", "lattice": [[-4.438, -3.897, -2.742], [3.606, -0.062, -5.750], [9.087, -14.470, 5.854]], "species": ["Cs", "Cs", "Cs", "Cs", "Sm", "Sm", "Sm", "Sm", "Si", "Si", "Si", "Si", "S", "S", "S", "S", "S", "S", "S", "S", "S", "S", "S", "S", "S", "S", "S", "S"], "frac_coords": [[0.017, 0.506, 0.467], [0.483, 0.494, 0.967], [0.983, 0.006, 0.033], [0.517, 0.994, 0.533], [0.209, 0.522, 0.728], [0.709, 0.978, 0.272], [0.791, 0.022, 0.772], [0.291, 0.478, 0.228], [0.790, 0.515, 0.168], [0.290, 0.985, 0.832], [0.710, 0.485, 0.668], [0.210, 0.015, 0.332], [0.548, 0.989, 0.903], [0.608, 0.253, 0.156], [0.113, 0.070, 0.221], [0.429, 0.244, 0.354], [0.387, 0.930, 0.721], [0.392, 0.753, 0.344], [0.892, 0.747, 0.656], [0.613, 0.430, 0.779], [0.952, 0.011, 0.403], [0.571, 0.744, 0.146], [0.048, 0.511, 0.097], [0.071, 0.756, 0.854], [0.108, 0.247, 0.844], [0.929, 0.256, 0.646], [0.452, 0.489, 0.597], [0.887, 0.570, 0.279]], "total_energy_ev_per_cell": -150.81, "relative_energy_mev_per_atom": 0, "magmom_total_mub_per_fu": 0.0, "raw_formation_energy_ev_per_atom": -1.4566}